w) Material: TbB4Os
Method: DFT, GGA-PBE
State: optimized geometry

Magnetization: 0.026 μB/f.u.
Crystal system: orthorhombic

Lattice parameters (Å, degrees): 4.746 4.746 4.746 140.88 111.49 81.83
Positions (direct):
Tb: 0.500 0.500 0.000
Os: 0.000 0.000 0.000
B: 0.417 0.751 0.666
B: 0.085 0.751 0.334
B: 0.583 0.249 0.334
B: 0.915 0.249 0.666


x) Material: TbB4Os
Method: DFT, GGA-PBE
State: optimized geometry

Magnetization: 0.596 μB/f.u.
Crystal system: hexagonal

Lattice parameters (Å, degrees): 3.220 3.220 6.811 90.00 90.00 120.00
Positions (direct):
B: 0.333 0.667 0.218
B: 0.667 0.333 0.782
B: 0.667 0.333 0.218
B: 0.333 0.667 0.782
Os: 0.000 0.000 0.000
Tb: 0.000 0.000 0.500


y) Material: TbB4Os
Method: DFT, GGA-PBE
State: optimized geometry

Magnetization: 0.001 μB/f.u.
Crystal system: orthorhombic

Lattice parameters (Å, degrees): 5.976 11.561 3.570 90.00 90.00 90.00
Positions (direct):
B: 0.788 0.186 0.500
B: 0.864 0.030 0.500
B: 0.136 0.970 0.500
B: 0.388 0.047 0.500
B: 0.288 0.314 0.500
B: 0.526 0.809 0.500
B: 0.888 0.453 0.500
B: 0.474 0.191 0.500
B: 0.026 0.691 0.500
B: 0.974 0.309 0.500
B: 0.636 0.530 0.500
B: 0.112 0.547 0.500
B: 0.612 0.953 0.500
B: 0.212 0.814 0.500
B: 0.364 0.470 0.500
B: 0.712 0.686 0.500
Tb: 0.628 0.350 0.000
Tb: 0.128 0.150 0.000
Tb: 0.872 0.850 0.000
Tb: 0.372 0.650 0.000
Os: 0.860 0.593 0.000
Os: 0.360 0.907 0.000
Os: 0.140 0.407 0.000
Os: 0.640 0.093 0.000


Stability comparison, relative energies in eV/atom: w) 0.477; x) 0.452; y) 0.000